1.
Material: TlSiGe2O
Method: DFT, PBE-GGA
State: optimized geometry

```
data_TlSiGe2O
_chemical_formula_sum 'Tl1 Si1 Ge2 O1'
_symmetry_space_group_name_H-M 'P 4/m m m'
_symmetry_Int_Tables_number 123
_symmetry_space_group_name_Hall '-P 4 2'
_cell_length_a 5.410
_cell_length_b 5.410
_cell_length_c 5.135
_cell_angle_alpha 90.00
_cell_angle_beta 90.00
_cell_angle_gamma 90.00
loop_
_atom_site_label
_atom_site_fract_x
_atom_site_fract_y
_atom_site_fract_z
_atom_site_occupancy
Tl1 0.000 0.000 0.000 1
Si1 0.000 0.000 0.500 1
Ge1 0.000 0.500 0.000 1
O1 0.500 0.500 0.500 1
```

=====

2.
# PBE-GGA Sm3GeO, optimized geometry
# Energy above the most stable polymorph in this dataset: 0 meV/atom
data_Sm3GeO
_chemical_formula_sum 'Sm6 Ge2 O2'
_symmetry_space_group_name_H-M 'P 1 21/m 1'
_symmetry_Int_Tables_number 11
_symmetry_space_group_name_Hall '-P 2yb'
_cell_length_a 4.675
_cell_length_b 4.782
_cell_length_c 10.903
_cell_angle_alpha 90.00
_cell_angle_beta 102.41
_cell_angle_gamma 90.00
loop_
_atom_site_label
_atom_site_fract_x
_atom_site_fract_y
_atom_site_fract_z
_atom_site_occupancy
Sm1 0.059 0.250 0.118 1
Sm2 0.196 0.750 0.391 1
Sm3 0.426 0.250 0.853 1
Ge1 0.334 0.750 0.671 1
O1 0.062 0.750 0.124 1

=====

3.
Material: Sm12Ge3O5
Method: DFT, PBE-GGA
State: optimized geometry

```
data_Sm12Ge3O5
_chemical_formula_sum 'Sm96 Ge24 O40'
_symmetry_space_group_name_H-M 'I a -3 d'
_symmetry_Int_Tables_number 230
_symmetry_space_group_name_Hall '-I 4bd 2c 3'
_cell_length_a 15.628
_cell_length_b 15.628
_cell_length_c 15.628
_cell_angle_alpha 90.00
_cell_angle_beta 90.00
_cell_angle_gamma 90.00
loop_
_atom_site_label
_atom_site_fract_x
_atom_site_fract_y
_atom_site_fract_z
_atom_site_occupancy
Sm1 0.036 0.053 0.650 1
Ge1 0.000 0.250 0.125 1
O1 0.000 0.000 0.000 1
O2 0.000 0.250 0.375 1
```

=====

One value per record, in order, for formation energy from raw total energies: 1588; -1412; -1634 meV/atom.